{"formula": "Tb3MnO6", "functional": "PBE with a Hubbard U", "state": "relaxed", "cell": [[5.4641, 0.0000, 0.0000], [0.0000, 6.9695, -1.4564], [0.0000, 0.1356, 7.1188]], "species": ["Tb", "Tb", "Tb", "Tb", "Tb", "Tb", "Mn", "Mn", "O", "O", "O", "O", "O", "O", "O", "O", "O", "O", "O", "O"], "fractional_positions": [[0.4721, 0.9112, 0.6793], [0.9721, 0.6793, 0.9112], [0.4180, 0.3957, 0.6043], [0.9180, 0.6043, 0.3957], [0.9721, 0.0888, 0.3207], [0.4721, 0.3207, 0.0888], [0.9834, 0.1462, 0.8538], [0.4834, 0.8538, 0.1462], [0.1964, 0.6716, 0.6439], [0.6964, 0.6439, 0.6716], [0.1623, 0.3995, 0.9039], [0.6623, 0.9039, 0.3995], [0.2522, 0.0208, 0.9792], [0.6702, 0.2206, 0.7794], [0.1702, 0.7794, 0.2206], [0.7522, 0.9792, 0.0208], [0.1623, 0.0961, 0.6005], [0.6623, 0.6005, 0.0961], [0.1964, 0.3561, 0.3284], [0.6964, 0.3284, 0.3561]], "total_magnetization_mub_per_cell": 8.0, "sg": "Cmc2_1 (36)", "de_polymorph_ev_per_fu": 0.00}